# SrSeO2

Crystalline SrSeO2 at its relaxed geometry (PBE, the Alexandria database).

CIF file:
```
data_SrSeO2
_chemical_formula_sum 'Sr2 Se2 O4'
_symmetry_space_group_name_H-M 'P 1'
_symmetry_Int_Tables_number 1
_symmetry_space_group_name_Hall 'P 1'
_cell_length_a 7.3521
_cell_length_b 7.3521
_cell_length_c 7.3521
_cell_angle_alpha 142.27
_cell_angle_beta 142.27
_cell_angle_gamma 54.43
loop_
_atom_site_label
_atom_site_fract_x
_atom_site_fract_y
_atom_site_fract_z
Sr1 0.0000 0.0000 0.0000
Sr2 0.7500 0.2500 0.5000
Se1 0.2500 0.7500 0.5000
Se2 0.5000 0.5000 0.0000
O1 0.1863 0.6250 0.0613
O2 0.3750 0.4363 0.5613
O3 0.5637 0.1250 0.9387
O4 0.8750 0.8137 0.4387
```

Output
Its crystal system is tetragonal. As for the formation energy (no corrections): -1144 meV/atom. The value obtained for the size of the total moment is 0.00 μB per formula unit.



# Sm2TlAu

Crystalline Sm2TlAu at its relaxed geometry (PBE, the Alexandria database).

CIF file:
```
data_Sm2TlAu
_chemical_formula_sum 'Sm2 Tl1 Au1'
_symmetry_space_group_name_H-M 'P 1'
_symmetry_Int_Tables_number 1
_symmetry_space_group_name_Hall 'P 1'
_cell_length_a 8.9569
_cell_length_b 8.9569
_cell_length_c 8.9569
_cell_angle_alpha 25.77
_cell_angle_beta 25.77
_cell_angle_gamma 25.77
loop_
_atom_site_label
_atom_site_fract_x
_atom_site_fract_y
_atom_site_fract_z
Sm1 0.2406 0.2406 0.2406
Sm2 0.7594 0.7594 0.7594
Tl1 0.0000 0.0000 0.0000
Au1 0.5000 0.5000 0.5000
```

Output
Its crystal system is trigonal. The calculation puts the energy of formation at -448 meV per atom. The value obtained for the size of the total moment is 0.00 μB per formula unit.



| no. | density of states at the Fermi level (states/eV per cell) |
| --- | --- |
| 1 | 0.0 |
| 2 | 4.6 |